w) The following is a GGA-PBE calculation of a relaxed structure of TiAl3Ir, from Alexandria via LeMat-Bulk.

abc: 6.1546 6.1546 6.1546
angles: 90.00 90.00 90.00
Fractional positions:
Ti1 0.0000 0.5000 0.5000
Ti2 0.5000 0.0000 0.5000
Ti3 0.5000 0.5000 0.0000
Al1 0.5000 0.5000 0.5000
Al2 0.2224 0.2224 0.2224
Al3 0.7776 0.7776 0.2224
Al4 0.7776 0.2224 0.7776
Al5 0.2224 0.7776 0.7776
Al6 0.2224 0.2224 0.7776
Al7 0.7776 0.7776 0.7776
Al8 0.2224 0.7776 0.2224
Al9 0.7776 0.2224 0.2224
Ir1 0.5000 0.0000 0.0000
Ir2 0.0000 0.5000 0.0000
Ir3 0.0000 0.0000 0.5000

* space group: Pm-3m, No. 221
* density of states at the Fermi level: 0.877 states/eV/atom


x) The following is a GGA-PBE calculation of a relaxed structure of TiAl3Ir, from Alexandria via LeMat-Bulk.

abc: 4.6713 4.6713 4.6713
angles: 90.00 90.00 90.00
Fractional positions:
Ir1 0.0000 0.0000 0.0000
Al1 0.0000 0.5000 0.0000
Al2 0.0000 0.0000 0.5000
Al3 0.5000 0.0000 0.0000
Ti1 0.5000 0.5000 0.5000

* space group: Pm-3m, No. 221
* density of states at the Fermi level: 0.403 states/eV/atom


It turns out w) is the most stable, with the second structure 0.749 eV/atom higher.